Record 1
NaTlIn3Hg6: optimized geometry, PBE-GGA.

POSCAR file:
```
NaTlIn3Hg6
1.0
3.820 2.205 6.435
-3.820 2.205 6.435
0.000 -4.411 6.435
Na Tl In Hg
1 1 3 6
direct
0.000 0.000 0.000
0.585 0.585 0.585
0.047 0.563 0.862
0.563 0.862 0.047
0.862 0.047 0.563
0.040 0.507 0.273
0.208 0.695 0.371
0.273 0.040 0.507
0.371 0.208 0.695
0.507 0.273 0.040
0.695 0.371 0.208
```


Record 2
Na2Tl2InHg: optimized geometry, PBE-GGA.

POSCAR file:
```
Na2Tl2InHg
1.0
6.580 0.000 0.000
0.000 6.435 0.000
-1.428 0.000 8.132
Na Tl In Hg
4 4 2 2
direct
0.053 0.250 0.477
0.144 0.750 0.125
0.856 0.250 0.875
0.947 0.750 0.523
0.326 0.002 0.813
0.326 0.498 0.813
0.674 0.502 0.187
0.674 0.998 0.187
0.439 0.750 0.484
0.561 0.250 0.516
0.223 0.250 0.165
0.777 0.750 0.835
```


Record 3
Na2Tl4InHg2: optimized geometry, PBE-GGA.

POSCAR file:
```
Na2Tl4InHg2
1.0
6.164 0.000 0.000
1.060 6.469 0.000
2.766 1.782 6.602
Na Tl In Hg
2 4 1 2
direct
0.151 0.319 0.337
0.849 0.681 0.663
0.287 0.856 0.186
0.289 0.899 0.711
0.711 0.101 0.289
0.713 0.144 0.814
0.500 0.500 0.500
0.133 0.319 0.899
0.867 0.681 0.101
```


Record 4
Na2Tl2InHg5: optimized geometry, PBE-GGA.

POSCAR file:
```
Na2Tl2InHg5
1.0
11.674 0.000 0.000
0.000 11.674 0.000
0.000 0.000 4.166
Na Tl In Hg
4 4 2 10
direct
0.154 0.346 0.000
0.346 0.846 0.000
0.654 0.154 0.000
0.846 0.654 0.000
0.152 0.652 0.000
0.348 0.152 0.000
0.652 0.848 0.000
0.848 0.348 0.000
0.000 0.000 0.000
0.500 0.500 0.000
0.000 0.201 0.500
0.000 0.500 0.500
0.000 0.799 0.500
0.201 0.000 0.500
0.299 0.500 0.500
0.500 0.000 0.500
0.500 0.299 0.500
0.500 0.701 0.500
0.701 0.500 0.500
0.799 0.000 0.500
```


no.,formation enthalpy at 0 K (eV/f.u.)
1,0.00
2,-0.50
3,-0.56
4,-0.79